PrBi2IrO8: optimized geometry, PBE.

Summary:
Mass density ... 7.810 g cm⁻³
Space-group type ... P2/m (10)
V ... 187 Å³ per cell
Formation energy (no corrections) ... -1.37 eV per atom
Total energy ... -6.46 eV/atom

a b c (Å): 5.1813 6.9002 5.2298
angles (deg): 90.00 91.42 90.00
Atoms (fractional coordinates):
1 Pr 0.0000 0.0000 0.0000
2 Bi 0.5000 0.2550 0.5000
3 Bi 0.5000 0.7450 0.5000
4 Ir 0.0000 0.5000 0.0000
5 O 0.1656 0.2875 0.2007
6 O 0.1656 0.7125 0.2007
7 O 0.2769 0.5000 0.7762
8 O 0.3355 0.0000 0.6948
9 O 0.6645 0.0000 0.3052
10 O 0.7231 0.5000 0.2238
11 O 0.8344 0.2875 0.7993
12 O 0.8344 0.7125 0.7993